[1]
# LiHgCl2

A relaxed LiHgCl2 crystal (PBE-GGA, Alexandria via LeMat-Bulk).

Density of states at the Fermi level = 6.216 states/eV per cell
VASP energy = -2.3134 eV per atom

Cell lengths 3.7342, 7.2882, 7.7350 Å; angles 90.00, 90.00, 90.00 degrees
Space group Immm (No. 71)
One atom of each set of equivalent atoms:
Li  0.0000  0.0000  0.0000 (multiplicity 2)
Hg  0.0000  0.0000  0.5000 (multiplicity 2)
Cl  0.0000  0.5000  0.2937 (multiplicity 4)


[2]
# Tb6Cd2N

A relaxed Tb6Cd2N crystal (PBE-GGA, Alexandria via LeMat-Bulk).

Density of states at the Fermi level = 11.656 states/eV per cell
VASP energy = -4.7067 eV per atom

Cell lengths 11.9476, 6.9428, 6.9423 Å; angles 90.00, 125.48, 90.00 degrees
Space group C2/m (No. 12)
One atom of each set of equivalent atoms:
Tb  0.0323  0.2447  0.2885 (multiplicity 8)
Tb  0.2431  0.0000  0.8070 (multiplicity 4)
Cd  0.2489  0.5000  0.7457 (multiplicity 4)
N  0.0000  0.0000  0.5000 (multiplicity 2)


[3]
# TmLuIn

A relaxed TmLuIn crystal (PBE-GGA, Alexandria via LeMat-Bulk).

Density of states at the Fermi level = 3.115 states/eV per cell
Energy of formation from the pure elements = -0.20 eV/atom

Cell lengths 5.1615, 5.1615, 3.5580 Å; angles 90.00, 90.00, 120.00 degrees
Space group P3m1 (No. 156)
One atom of each set of equivalent atoms:
Tm  0.0000  0.0000  0.0000 (multiplicity 1)
Lu  0.6667  0.3333  0.4420 (multiplicity 1)
In  0.3333  0.6667  0.6971 (multiplicity 1)


[4]
# AsSe2

A relaxed AsSe2 crystal (PBE-GGA, Alexandria via LeMat-Bulk).

Density of states at the Fermi level = 23.603 states/eV per cell
VASP energy = -3.0093 eV per atom

Cell lengths 7.9782, 7.9782, 7.9782 Å; angles 90.00, 90.00, 90.00 degrees
Space group Fd-3m (No. 227, origin choice 2)
One atom of each set of equivalent atoms:
As  0.1250  0.1250  0.1250 (multiplicity 8)
Se  0.0000  0.0000  0.5000 (multiplicity 16)


[5]
# YSnPd

A relaxed YSnPd crystal (PBE-GGA, Alexandria via LeMat-Bulk).

Density of states at the Fermi level = 5.556 states/eV per cell
Energy of formation from the pure elements = 0.10 eV/atom

Cell lengths 3.2167, 3.2167, 15.1691 Å; angles 90.00, 90.00, 90.00 degrees
Space group I4mm (No. 107)
One atom of each set of equivalent atoms:
Y  0.0000  0.0000  0.0000 (multiplicity 2)
Sn  0.0000  0.0000  0.3490 (multiplicity 2)
Pd  0.0000  0.0000  0.1705 (multiplicity 2)


[6]
# Li2TlTe

A relaxed Li2TlTe crystal (PBE-GGA, Alexandria via LeMat-Bulk).

Density of states at the Fermi level = 0.102 states/eV per cell
VASP energy = -2.8862 eV per atom

Cell lengths 4.1369, 4.7366, 4.7526 Å; angles 90.00, 90.00, 90.00 degrees
Space group Pmmm (No. 47)
One atom of each set of equivalent atoms:
Li  0.0000  0.0000  0.0000 (multiplicity 1)
Li  0.0000  0.5000  0.5000 (multiplicity 1)
Tl  0.5000  0.0000  0.5000 (multiplicity 1)
Te  0.5000  0.5000  0.0000 (multiplicity 1)


[7]
# Tb3PaH

A relaxed Tb3PaH crystal (PBE-GGA, Alexandria via LeMat-Bulk).

Density of states at the Fermi level = 7.115 states/eV per cell
VASP energy = -5.3265 eV per atom

Cell lengths 4.9099, 4.9099, 4.9099 Å; angles 90.00, 90.00, 90.00 degrees
Space group Pm-3m (No. 221)
One atom of each set of equivalent atoms:
Tb  0.0000  0.0000  0.5000 (multiplicity 3)
Pa  0.5000  0.5000  0.5000 (multiplicity 1)
H  0.0000  0.0000  0.0000 (multiplicity 1)


[8]
# Mg2ScMn

A relaxed Mg2ScMn crystal (PBE-GGA, Alexandria via LeMat-Bulk).

Density of states at the Fermi level = 4.403 states/eV per cell
Energy of formation from the pure elements = 0.14 eV/atom

Cell lengths 4.2290, 4.2290, 4.5411 Å; angles 90.00, 90.00, 90.00 degrees
Space group P4/mmm (No. 123)
One atom of each set of equivalent atoms:
Mg  0.0000  0.5000  0.0000 (multiplicity 2)
Sc  0.0000  0.0000  0.5000 (multiplicity 1)
Mn  0.5000  0.5000  0.5000 (multiplicity 1)


Q: density of states at the Fermi level of number 2 (Tb6Cd2N)?
A: 11.656 states/eV per cell


Q: Which formula does entry 7 have?
A: Tb3PaH